(1)
! Ta2MnP PBEsol relaxed; values from VASP
&SYSTEM
  ibrav = 0, nat = 4, ntyp = 3
/
ATOMIC_SPECIES
Ta 180.95 Ta.upf
Mn 54.94 Mn.upf
P 30.97 P.upf
ATOMIC_POSITIONS crystal
Ta 0.252 0.252 0.244
Ta 0.748 0.748 0.756
Mn 0.500 0.500 0.500
P 0.000 0.000 0.000
CELL_PARAMETERS angstrom
-1.092 -0.339 2.998
1.051 -2.419 1.826
5.126 3.065 3.930
! Total moment (μB/atom): 0.20
! E_form (eV/f.u.): -0.170



(2)
! Tb2Mn12P7 PBEsol relaxed; values from VASP
&SYSTEM
  ibrav = 0, nat = 21, ntyp = 3
/
ATOMIC_SPECIES
P 30.97 P.upf
Tb 158.93 Tb.upf
Mn 54.94 Mn.upf
ATOMIC_POSITIONS crystal
P 0.500 0.282 0.407
P 0.000 0.881 0.290
P 0.500 0.125 0.718
P 0.000 0.710 0.591
P 0.500 0.593 0.875
P 0.000 0.409 0.119
P 0.000 0.000 0.000
Tb 0.500 0.667 0.333
Tb 0.000 0.333 0.667
Mn 0.500 0.391 0.955
Mn 0.500 0.564 0.609
Mn 0.000 0.155 0.879
Mn 0.500 0.045 0.436
Mn 0.500 0.898 0.778
Mn 0.000 0.425 0.377
Mn 0.000 0.121 0.276
Mn 0.500 0.880 0.102
Mn 0.500 0.222 0.120
Mn 0.000 0.724 0.845
Mn 0.000 0.623 0.048
Mn 0.000 0.952 0.575
CELL_PARAMETERS angstrom
-0.960 -2.733 2.090
0.357 -5.616 -7.179
7.424 1.319 5.133
! Total moment (μB/atom): 0.69
! E_form (eV/f.u.): -15.426



(3)
! MnTcP2 PBEsol relaxed; values from VASP
&SYSTEM
  ibrav = 0, nat = 4, ntyp = 3
/
ATOMIC_SPECIES
P 30.97 P.upf
Mn 54.94 Mn.upf
Tc 98.00 Tc.upf
ATOMIC_POSITIONS crystal
P 0.500 0.500 0.261
P 0.000 0.000 0.962
Mn 0.500 0.500 0.820
Tc 0.000 0.000 0.457
CELL_PARAMETERS angstrom
3.040 0.000 0.000
0.000 3.040 0.000
0.000 0.000 5.246
! Distance to the lowest polymorph of the same formula (eV per formula unit): 0.34
! Total moment (μB/atom): 0.41
! E_form (eV/f.u.): -1.876



(4)
! MnTc2P PBEsol relaxed; values from VASP
&SYSTEM
  ibrav = 0, nat = 4, ntyp = 3
/
ATOMIC_SPECIES
Mn 54.94 Mn.upf
P 30.97 P.upf
Tc 98.00 Tc.upf
ATOMIC_POSITIONS crystal
Mn 0.000 0.000 0.463
P 0.500 0.500 0.273
Tc 0.000 0.000 0.025
Tc 0.500 0.500 0.738
CELL_PARAMETERS angstrom
2.726 0.582 0.000
-0.583 2.726 0.000
0.000 0.000 6.258
! Distance to the lowest polymorph of the same formula (eV per formula unit): 0.18
! Total moment (μB/atom): 0.00
! E_form (eV/f.u.): -1.107



(5)
! MnTcP2 PBEsol relaxed; values from VASP
&SYSTEM
  ibrav = 0, nat = 4, ntyp = 3
/
ATOMIC_SPECIES
Mn 54.94 Mn.upf
P 30.97 P.upf
Tc 98.00 Tc.upf
ATOMIC_POSITIONS crystal
Mn 0.206 0.706 0.413
P 0.785 0.285 0.570
P 0.052 0.052 0.104
Tc 0.457 0.457 0.913
CELL_PARAMETERS angstrom
3.015 0.000 0.000
0.000 3.056 0.000
-1.507 -1.528 5.410
! Distance to the lowest polymorph of the same formula (eV per formula unit): 0.00
! Total moment (μB/atom): 0.14
! E_form (eV/f.u.): -2.218



(6)
! MnTc2P PBEsol relaxed; values from VASP
&SYSTEM
  ibrav = 0, nat = 4, ntyp = 3
/
ATOMIC_SPECIES
Mn 54.94 Mn.upf
P 30.97 P.upf
Tc 98.00 Tc.upf
ATOMIC_POSITIONS crystal
Mn 0.530 0.530 0.060
P 0.240 0.740 0.480
Tc 0.974 0.974 0.949
Tc 0.756 0.256 0.511
CELL_PARAMETERS angstrom
2.806 0.000 0.000
0.000 4.148 0.000
-1.403 -2.074 4.172
! Distance to the lowest polymorph of the same formula (eV per formula unit): 0.00
! Total moment (μB/atom): 0.00
! E_form (eV/f.u.): -1.292



(7)
! MnTc2P PBEsol relaxed; values from VASP
&SYSTEM
  ibrav = 0, nat = 4, ntyp = 3
/
ATOMIC_SPECIES
P 30.97 P.upf
Tc 98.00 Tc.upf
Mn 54.94 Mn.upf
ATOMIC_POSITIONS crystal
P 0.500 0.500 0.500
Tc 0.750 0.750 0.750
Tc 0.250 0.250 0.250
Mn 0.000 0.000 0.000
CELL_PARAMETERS angstrom
4.122 0.000 0.000
2.061 3.570 0.000
2.061 1.190 3.366
! Distance to the lowest polymorph of the same formula (eV per formula unit): 0.06
! Total moment (μB/atom): 0.57
! E_form (eV/f.u.): -1.234



(8)
! ZrMnTcP2 PBEsol relaxed; values from VASP
&SYSTEM
  ibrav = 0, nat = 5, ntyp = 4
/
ATOMIC_SPECIES
Zr 91.22 Zr.upf
Tc 98.00 Tc.upf
Mn 54.94 Mn.upf
P 30.97 P.upf
ATOMIC_POSITIONS crystal
Zr 0.500 0.500 0.500
Tc 0.000 0.000 0.500
Mn 0.000 0.000 0.000
P 0.500 0.000 0.000
P 0.000 0.500 0.000
CELL_PARAMETERS angstrom
4.296 0.000 0.000
0.000 4.296 0.000
0.000 0.000 4.363
! Total moment (μB/atom): 0.11
! E_form (eV/f.u.): 1.819



> What is the formula in the third record?

MnTcP2